1.
DFT (PBE) results for TbTm2Tl3PtAu2 after structural relaxation.

Values from the calculation:
raw total energy = -4.322 eV per atom
magnetic moment = 0.00 μB/cell

The structure in CIF format:
```
data_TbTm2Tl3PtAu2
_symmetry_space_group_name_H-M 'A m m 2'
_symmetry_Int_Tables_number 38
_cell_length_a 3.883
_cell_length_b 13.522
_cell_length_c 7.790
_cell_angle_alpha 90.00
_cell_angle_beta 90.00
_cell_angle_gamma 90.00
loop_
_symmetry_equiv_pos_as_xyz
'x,y,z'
'-x,-y,z'
'-x,y,z'
'x,-y,z'
'x,y+1/2,z+1/2'
'-x,-y+1/2,z+1/2'
'-x,y+1/2,z+1/2'
'x,-y+1/2,z+1/2'
loop_
_atom_site_label
_atom_site_type_symbol
_atom_site_fract_x
_atom_site_fract_y
_atom_site_fract_z
Tb1 Tb 0.000 0.000 0.000
Tm1 Tm 0.000 0.199 0.597
Tl1 Tl 0.500 0.000 0.663
Tl2 Tl 0.500 0.131 0.267
Pt1 Pt 0.000 0.000 0.402
Au1 Au 0.500 0.169 0.897
```

=====

2.
DFT (PBE) results for GdZn8 after structural relaxation.

Values from the calculation:
E_form = 1.91 eV/f.u.
raw total energy = -1.429 eV per atom
magnetic moment = 0.02 μB/cell

The structure in CIF format:
```
data_GdZn8
_symmetry_space_group_name_H-M 'P 6/m m m'
_symmetry_Int_Tables_number 191
_symmetry_space_group_name_Hall '-P 6 2'
_cell_length_a 9.0486
_cell_length_b 9.0486
_cell_length_c 2.7061
_cell_angle_alpha 90.00
_cell_angle_beta 90.00
_cell_angle_gamma 120.00
loop_
_atom_site_label
_atom_site_type_symbol
_atom_site_fract_x
_atom_site_fract_y
_atom_site_fract_z
Gd1 Gd 0.0000 0.0000 0.0000
Zn1 Zn 0.1755 0.3509 0.5000
Zn2 Zn 0.3333 0.6667 0.5000
```

=====

3.
DFT (PBE) results for RbGd2AgO4 after structural relaxation.

Values from the calculation:
raw total energy = -6.495 eV per atom
magnetic moment = 0.00 μB/cell

The structure in CIF format:
```
data_RbGd2AgO4
_symmetry_space_group_name_H-M 'P -6 m 2'
_symmetry_Int_Tables_number 187
_symmetry_space_group_name_Hall 'P -6 2'
_cell_length_a 3.5113
_cell_length_b 3.5113
_cell_length_c 11.9443
_cell_angle_alpha 90.00
_cell_angle_beta 90.00
_cell_angle_gamma 120.00
loop_
_atom_site_label
_atom_site_type_symbol
_atom_site_fract_x
_atom_site_fract_y
_atom_site_fract_z
Rb1 Rb 0.0000 0.0000 0.0000
Gd1 Gd 0.3333 0.6667 0.2714
Ag1 Ag 0.6667 0.3333 0.5000
O1 O 0.0000 0.0000 0.3639
O2 O 0.6667 0.3333 0.1733
```

=====

4.
DFT (PBE) results for RbLuGeTe3 after structural relaxation.

Values from the calculation:
raw total energy = -4.072 eV per atom
magnetic moment = 0.00 μB/cell
E above lowest polymorph = 108 meV/atom

The structure in CIF format:
```
data_RbLuGeTe3
_symmetry_space_group_name_H-M 'C m c m'
_symmetry_Int_Tables_number 63
_symmetry_space_group_name_Hall '-C 2c 2'
_cell_length_a 4.574
_cell_length_b 16.211
_cell_length_c 11.964
_cell_angle_alpha 90.00
_cell_angle_beta 90.00
_cell_angle_gamma 90.00
loop_
_atom_site_label
_atom_site_type_symbol
_atom_site_fract_x
_atom_site_fract_y
_atom_site_fract_z
Rb1 Rb 0.000 0.247 0.250
Lu1 Lu 0.000 0.000 0.000
Ge1 Ge 0.000 0.461 0.750
Te1 Te 0.000 0.064 0.750
Te2 Te 0.000 0.375 0.539
```